First-principles (PBE-GGA) data for an optimized crystal structure of PmAl2Zn2, as listed in the Open Quantum Materials Database.

Cell: 4.221 4.221 10.731 Å, 90.00 90.00 90.00°
Element x y z (fractional)
Pm (0.250, 0.250, 0.248)
Pm (0.750, 0.750, 0.752)
Al (0.250, 0.250, 0.867)
Al (0.250, 0.750, 0.500)
Al (0.750, 0.250, 0.500)
Al (0.750, 0.750, 0.133)
Zn (0.250, 0.250, 0.638)
Zn (0.250, 0.750, 0.000)
Zn (0.750, 0.250, 0.000)
Zn (0.750, 0.750, 0.362)

Output
Calculated total energy: -33.69 eV for the cell shown
SG: P4/nmm, No. 129
Total moment: 0.0 μB per formula unit